1.
Material: MnTlMo2F
Method: DFT, PBEsol
State: relaxed

Lattice parameters (Å, degrees): 4.3834 4.1391 4.1391 90.00 90.00 90.00
With the nearest neighbours (Å) after each atom.
Fractional positions:
Tl: 0.5000 0.5000 0.5000  4 Mn 2.93, 8 Mo 3.01
Mn: 0.5000 0.0000 0.0000  2 F 2.19
Mo: 0.0000 0.0000 0.5000  2 F 2.07
Mo: 0.0000 0.5000 0.0000  2 F 2.07
F: 0.0000 0.0000 0.0000  4 Mo 2.07, 2 Mn 2.19

Energy relative to the elements, uncorrected = 0.553 eV/atom
Uncorrected energy = -7.018 eV per atom
Total moment = 2.8 μB per formula unit
Theoretical density = 10.4 g/cm3
V = 15.0 Å³ per atom

=====

2.
Material: MnNbNF2
Method: DFT, PBEsol
State: relaxed

Lattice parameters (Å, degrees): 3.7927 3.7927 4.1540 90.00 90.00 90.00
With the nearest neighbours (Å) after each atom.
Fractional positions:
N: 0.0000 0.0000 0.5000  2 Mn 2.08
Nb: 0.5000 0.5000 0.5000  4 N 2.68, 8 F 2.81
Mn: 0.0000 0.0000 0.0000  4 F 1.90, 2 N 2.08
F: 0.0000 0.5000 0.0000  2 Mn 1.90
F: 0.5000 0.0000 0.0000  2 Mn 1.90

Energy relative to the elements, uncorrected = -0.489 eV/atom
Uncorrected energy = -7.082 eV per atom
Total moment = 6.7 μB per formula unit
Theoretical density = 5.6 g/cm3
V = 12.0 Å³ per atom

=====

3.
Material: MnNiNF2
Method: DFT, PBEsol
State: relaxed

Lattice parameters (Å, degrees): 3.7403 3.7403 3.8030 90.00 90.00 90.00
With the nearest neighbours (Å) after each atom.
Fractional positions:
Ni: 0.0000 0.0000 0.0000  4 F 1.87, 2 N 1.90
N: 0.0000 0.0000 0.5000  2 Ni 1.90
Mn: 0.5000 0.5000 0.5000  4 N 2.64, 8 F 2.67
F: 0.0000 0.5000 0.0000  2 Ni 1.87
F: 0.5000 0.0000 0.0000  2 Ni 1.87

Energy relative to the elements, uncorrected = -0.380 eV/atom
Uncorrected energy = -6.040 eV per atom
Total moment = 4.2 μB per formula unit
Theoretical density = 5.2 g/cm3
V = 10.6 Å³ per atom

=====

4.
Material: MnNiNF2
Method: DFT, PBEsol
State: relaxed

Lattice parameters (Å, degrees): 3.6021 3.8761 3.8761 90.00 90.00 90.00
With the nearest neighbours (Å) after each atom.
Fractional positions:
Ni: 0.5000 0.5000 0.5000  8 F 2.65, 4 N 2.74
N: 0.5000 0.0000 0.0000  2 Mn 1.80
Mn: 0.0000 0.0000 0.0000  2 N 1.80, 4 F 1.94
F: 0.0000 0.0000 0.5000  2 Mn 1.94
F: 0.0000 0.5000 0.0000  2 Mn 1.94

Energy relative to the elements, uncorrected = -0.382 eV/atom
Uncorrected energy = -6.042 eV per atom
Total moment = 3.5 μB per formula unit
Theoretical density = 5.1 g/cm3
V = 10.8 Å³ per atom

=====

5.
Material: MnN2OF
Method: DFT, PBEsol
State: relaxed

Lattice parameters (Å, degrees): 3.5446 3.5446 3.8574 90.00 90.00 90.00
With the nearest neighbours (Å) after each atom.
Fractional positions:
N: 0.0000 0.5000 0.0000  2 Mn 1.77
N: 0.5000 0.0000 0.0000  2 Mn 1.77
Mn: 0.0000 0.0000 0.0000  4 N 1.77, 2 F 1.93
O: 0.5000 0.5000 0.5000  4 F 2.51, 8 N 2.62
F: 0.0000 0.0000 0.5000  2 Mn 1.93

Energy relative to the elements, uncorrected = 0.671 eV/atom
Uncorrected energy = -6.128 eV per atom
Total moment = 1.7 μB per formula unit
Theoretical density = 4.0 g/cm3
V = 9.7 Å³ per atom

=====

6.
Material: MnOsN2F
Method: DFT, PBEsol
State: relaxed

Lattice parameters (Å, degrees): 3.5480 3.7469 3.7469 90.00 90.00 90.00
With the nearest neighbours (Å) after each atom.
Fractional positions:
N: 0.0000 0.0000 0.5000  2 Mn 1.87
N: 0.0000 0.5000 0.0000  2 Mn 1.87
Mn: 0.0000 0.0000 0.0000  2 F 1.77, 4 N 1.87
Os: 0.5000 0.5000 0.5000  8 N 2.58, 4 F 2.65
F: 0.5000 0.0000 0.0000  2 Mn 1.77

Energy relative to the elements, uncorrected = 0.880 eV/atom
Uncorrected energy = -7.311 eV per atom
Total moment = 3.6 μB per formula unit
Theoretical density = 9.7 g/cm3
V = 10.0 Å³ per atom

=====

Which of these has the highest total moment?
MnNbNF2